The following is a DFT calculation (SCAN) of a crystal of BaPRu relaxed with PBEsol.

Lattice parameters (Å, degrees): 4.691 4.691 4.691 60.00 60.00 60.00
Each line ends with the local moment (μB).
Fractional coordinates of all 3 atoms:
Ba 0.500 0.500 0.500  0.08
P 0.750 0.750 0.750  0.08
Ru 0.000 0.000 0.000  2.07

Output
- Energy of formation: 0.410 eV/atom